Entry 1:
Here is an optimized crystal structure of DyMg8Co2 from Alexandria via LeMat-Bulk. Energies are from PBE.

Output
* DOS(E_F): 0.81 states/eV per atom
* calculated total energy: -2.71 eV/atom
* calculated formation energy: 160 meV per atom
* crystal system: monoclinic

a = 7.1742 Å, b = 7.1742 Å, c = 5.1300 Å
α = 97.56°, β = 97.56°, γ = 113.11°
Positions (direct):
Dy 0.0000 0.0000 0.0000
Mg 0.0678 0.3323 0.5766
Mg 0.2686 0.7314 0.0000
Mg 0.3323 0.0678 0.5766
Mg 0.4185 0.4185 0.2280
Mg 0.5815 0.5815 0.7720
Mg 0.6677 0.9322 0.4234
Mg 0.7314 0.2686 0.0000
Mg 0.9322 0.6677 0.4234
Co 0.3086 0.6914 0.5000
Co 0.6914 0.3086 0.5000

Entry 2:
Here is an optimized crystal structure of Co5C7 from Alexandria via LeMat-Bulk. Energies are from PBE.

Output
* DOS(E_F): 0.71 states/eV per atom
* calculated total energy: -7.47 eV/atom
* calculated formation energy: 875 meV per atom
* crystal system: tetragonal

a = 5.0785 Å, b = 5.0785 Å, c = 5.0785 Å
α = 101.98°, β = 101.98°, γ = 125.79°
Positions (direct):
Co 0.0000 0.0000 0.0000
Co 0.3820 0.3820 0.6041
Co 0.3820 0.7779 0.0000
Co 0.7779 0.3820 0.0000
Co 0.7779 0.7779 0.3959
C 0.0733 0.5733 0.5000
C 0.1835 0.8551 0.3284
C 0.3954 0.3954 0.0000
C 0.5267 0.8551 0.6716
C 0.5733 0.0733 0.5000
C 0.8551 0.1835 0.3284
C 0.8551 0.5267 0.6716

Entry 3:
Here is an optimized crystal structure of PmHoPbO2 from Alexandria via LeMat-Bulk. Energies are from PBE.

Output
* E_form (uncorrected): -2.5157 eV/atom
* DOS(E_F): 0.44 states/eV per atom
* calculated total energy: -7.11 eV/atom
* crystal system: tetragonal

a = 3.8908 Å, b = 3.8908 Å, c = 14.3355 Å
α = 90.00°, β = 90.00°, γ = 90.00°
Positions (direct):
Pm 0.0000 0.0000 0.0000
Pm 0.5000 0.5000 0.5000
Ho 0.0000 0.0000 0.3398
Ho 0.5000 0.5000 0.8398
Pb 0.0000 0.0000 0.6708
Pb 0.5000 0.5000 0.1708
O 0.0000 0.5000 0.4143
O 0.0000 0.5000 0.9143
O 0.5000 0.0000 0.4143
O 0.5000 0.0000 0.9143

Entry 4:
Here is an optimized crystal structure of ReHgN2 from Alexandria via LeMat-Bulk. Energies are from PBE.

Output
* E_form (uncorrected): 0.1434 eV/atom
* DOS(E_F): 0.31 states/eV per atom
* calculated total energy: -7.21 eV/atom
* crystal system: cubic

a = 6.0297 Å, b = 6.0297 Å, c = 6.0297 Å
α = 60.00°, β = 60.00°, γ = 60.00°
Positions (direct):
Re 0.1250 0.1250 0.1250
Re 0.8750 0.8750 0.8750
Hg 0.3750 0.3750 0.3750
Hg 0.6250 0.6250 0.6250
N 0.0000 0.0000 0.0000
N 0.0000 0.0000 0.5000
N 0.0000 0.5000 0.0000
N 0.5000 0.0000 0.0000

Entry 5:
Here is an optimized crystal structure of ZrAlV from Alexandria via LeMat-Bulk. Energies are from PBE.

Output
* DOS(E_F): 1.01 states/eV per atom
* calculated total energy: -7.27 eV/atom
* calculated formation energy: -138 meV per atom
* crystal system: orthorhombic

a = 4.1058 Å, b = 7.5398 Å, c = 6.9295 Å
α = 90.00°, β = 90.00°, γ = 90.00°
Positions (direct):
Zr 0.2500 0.1973 0.0000
Zr 0.2500 0.3027 0.5000
Zr 0.7500 0.6973 0.5000
Zr 0.7500 0.8027 0.0000
Al 0.2500 0.6010 0.2076
Al 0.2500 0.8990 0.7076
Al 0.7500 0.1010 0.7076
Al 0.7500 0.3990 0.2076
V 0.2500 0.5543 0.8135
V 0.2500 0.9457 0.3135
V 0.7500 0.0543 0.3135
V 0.7500 0.4457 0.8135

Entry 6:
Here is an optimized crystal structure of PuHgPbBr6 from Alexandria via LeMat-Bulk. Energies are from PBE.

Output
* E_form (uncorrected): -1.0194 eV/atom
* DOS(E_F): 0.62 states/eV per atom
* calculated total energy: -4.17 eV/atom
* crystal system: trigonal

a = 7.6019 Å, b = 7.6019 Å, c = 7.9633 Å
α = 90.00°, β = 90.00°, γ = 120.00°
Positions (direct):
Pu 0.0000 0.0000 0.0000
Hg 0.3333 0.6667 0.5000
Pb 0.6667 0.3333 0.0000
Br 0.3067 0.0158 0.2028
Br 0.3067 0.2909 0.7972
Br 0.7091 0.0158 0.7972
Br 0.7091 0.6933 0.2028
Br 0.9842 0.2909 0.2028
Br 0.9842 0.6933 0.7972